VASP calculation (PBE) on a relaxed structure of ZrRhAu2.

Lattice parameters (Å, degrees): 4.6669 4.6669 4.6669 60.00 60.00 60.00
Closest atoms and distances in Å follow each position.
Positions (direct):
Rh 0.5000 0.5000 0.5000  8 Au 2.86
Au 0.2500 0.2500 0.2500  4 Zr 2.86, 4 Rh 2.86
Au 0.7500 0.7500 0.7500  4 Zr 2.86, 4 Rh 2.86
Zr 0.0000 0.0000 0.0000  8 Au 2.86

Output
formation energy	-0.3448	eV/atom
symmetry	No. 225



VASP calculation (PBE) on a relaxed structure of ZrRhAu2.

Lattice parameters (Å, degrees): 7.6102 7.6102 6.0104 50.72 50.72 90.00
Closest atoms and distances in Å follow each position.
Positions (direct):
Rh 0.0000 0.0000 0.0000  2 Zr 2.68, 4 Au 2.71
Rh 0.7500 0.2500 0.5000  2 Zr 2.68, 4 Au 2.71
Au 0.6379 0.1250 0.2500  2 Au 2.68, 2 Rh 2.71, 2 Zr 2.84
Au 0.1121 0.6250 0.2500  2 Au 2.68, 2 Rh 2.71, 2 Zr 2.84
Au 0.3750 0.3621 0.7500  2 Au 2.68, 2 Rh 2.71, 2 Zr 2.84
Au 0.8750 0.8879 0.7500  2 Au 2.68, 2 Rh 2.71, 2 Zr 2.84
Zr 0.5000 0.5000 0.0000  2 Rh 2.68, 4 Au 2.84
Zr 0.2500 0.7500 0.5000  2 Rh 2.68, 4 Au 2.84

Output
formation energy	-0.0754	eV/atom
symmetry	No. 122



VASP calculation (PBE) on a relaxed structure of ZrRh3Au.

Lattice parameters (Å, degrees): 4.7896 4.7896 4.7896 90.00 90.00 90.00
Closest atoms and distances in Å follow each position.
Positions (direct):
Rh 0.0000 0.5000 0.0000  2 Au 2.39
Rh 0.0000 0.0000 0.5000  2 Au 2.39
Rh 0.5000 0.0000 0.0000  2 Au 2.39
Au 0.0000 0.0000 0.0000  6 Rh 2.39
Zr 0.5000 0.5000 0.5000  12 Rh 3.39

Output
formation energy	1.1957	eV/atom
ΔE to the lowest computed polymorph	260	meV/atom
symmetry	No. 221



VASP calculation (PBE) on a relaxed structure of Zr2RhAu.

Lattice parameters (Å, degrees): 5.3258 5.3258 5.3258 134.81 134.81 65.82
Closest atoms and distances in Å follow each position.
Positions (direct):
Au 0.5000 0.5000 0.0000  8 Zr 2.89-3.03, 4 Rh 3.03
Rh 0.7500 0.2500 0.5000  8 Zr 2.89-3.03, 4 Au 3.03
Zr 0.0000 0.0000 0.0000  4 Au 2.89, 4 Zr 3.03, 4 Rh 3.03
Zr 0.2500 0.7500 0.5000  4 Rh 2.89, 4 Zr 3.03, 4 Au 3.03

Output
formation energy	-0.4930	eV/atom
symmetry	No. 119



VASP calculation (PBE) on a relaxed structure of ZrRhAu2.

Lattice parameters (Å, degrees): 4.5401 3.2685 9.7061 89.99 90.00 90.00
Closest atoms and distances in Å follow each position.
Positions (direct):
Zr 0.7500 0.9998 0.6389  6 Rh 2.80-2.83, 4 Au 2.99-3.01
Zr 0.2500 0.0002 0.3611  6 Rh 2.80-2.83, 4 Au 2.99-3.01
Rh 0.2500 0.4998 0.5950  6 Zr 2.80-2.83, 2 Au 2.91, 2 Rh 2.92
Rh 0.7500 0.5002 0.4050  6 Zr 2.80-2.83, 2 Au 2.91, 2 Rh 2.92
Au 0.7500 0.4997 0.8974  8 Au 2.85-3.02, 2 Zr 2.99
Au 0.2500 0.5003 0.1026  8 Au 2.85-3.02, 2 Zr 2.99
Au 0.2500 0.9996 0.8431  6 Au 2.85-3.00, 2 Rh 2.91, 2 Zr 3.01
Au 0.7500 0.0004 0.1569  6 Au 2.85-3.00, 2 Rh 2.91, 2 Zr 3.01

Output
formation energy	-0.4869	eV/atom
symmetry	No. 51



VASP calculation (PBE) on a relaxed structure of ZrRhAu.

Lattice parameters (Å, degrees): 4.4528 4.4528 4.4528 60.00 60.00 60.00
Closest atoms and distances in Å follow each position.
Positions (direct):
Au 0.5000 0.5000 0.5000  4 Rh 2.73
Rh 0.7500 0.7500 0.7500  4 Zr 2.73, 4 Au 2.73
Zr 0.0000 0.0000 0.0000  4 Rh 2.73

Output
formation energy	-0.3418	eV/atom
ΔE to the lowest computed polymorph	316	meV/atom
symmetry	No. 216



Sequential calculated volume output: 17.968, 19.381, 21.975, 18.719, 18.004, 20.810 Å³ per atom